--- 1 ---
VASP calculation (GGA-PBE) on CuTcAg2 after structural relaxation.

Lattice parameters (Å, degrees): 2.7016 2.7016 8.4801 90.00 90.00 90.00
Positions (direct):
Cu1 0.0000 0.0000 0.0000
Tc1 0.5000 0.5000 0.2213
Ag1 0.0000 0.0000 0.4856
Ag2 0.5000 0.5000 0.7591

## Properties
Space-group type ... P4mm (99)
Crystal system ... tetragonal

--- 2 ---
VASP calculation (GGA-PBE) on CuTcAg2 after structural relaxation.

Lattice parameters (Å, degrees): 4.9748 4.9748 4.9657 98.76 98.76 31.09
Positions (direct):
Cu1 0.0000 0.0000 0.0000
Tc1 0.5000 0.5000 0.5000
Ag1 0.2523 0.2523 0.7528
Ag2 0.7477 0.7477 0.2472

## Properties
Space-group type ... C2/m (12)
Crystal system ... monoclinic

--- 3 ---
VASP calculation (GGA-PBE) on CuTcAg2 after structural relaxation.

Lattice parameters (Å, degrees): 9.4787 9.4787 9.4787 16.88 16.88 16.88
Positions (direct):
Cu1 0.0000 0.0000 0.0000
Tc1 0.7414 0.7414 0.7414
Ag1 0.2522 0.2522 0.2522
Ag2 0.4948 0.4948 0.4948

## Properties
Space-group type ... R3m (160)
Crystal system ... trigonal

--- 4 ---
VASP calculation (GGA-PBE) on CuTcAg2 after structural relaxation.

Lattice parameters (Å, degrees): 2.6842 2.6842 8.5802 90.00 90.00 90.32
Positions (direct):
Cu1 0.0000 0.0000 0.0000
Tc1 0.0000 0.0000 0.5000
Ag1 0.5000 0.5000 0.2372
Ag2 0.5000 0.5000 0.7628

## Properties
Space-group type ... Cmmm (65)
Crystal system ... orthorhombic

Here is how they stack up, most stable first: 1, 3, 4, 2.